No. 1
{
  "formula": "BaNa2CdI",
  "functional": "PBE",
  "state": "optimized geometry",
  "formation_energy_uncorrected_ev_per_atom": -0.327,
  "crystal_system": "tetragonal",
  "cell": [[5.689, 0.000, 0.000], [0.000, 5.689, 0.000], [0.000, 0.000, 6.924]],
  "species": ["Ba", "Na", "Na", "Cd", "I"],
  "frac_coords": [[0.000, 0.000, 0.000], [0.000, 0.500, 0.500], [0.500, 0.000, 0.500], [0.000, 0.000, 0.500], [0.500, 0.500, 0.000]]
}



No. 2
{
  "formula": "LaLuGaIr",
  "functional": "PBE",
  "state": "optimized geometry",
  "ef_ev_per_atom": -0.59,
  "crystal_system": "cubic",
  "cell": [[7.128, 0.000, 0.000], [0.000, 7.128, 0.000], [0.000, 0.000, 7.128]],
  "species": ["La", "La", "La", "La", "Lu", "Lu", "Lu", "Lu", "Ga", "Ga", "Ga", "Ga", "Ir", "Ir", "Ir", "Ir"],
  "frac_coords": [[0.000, 0.000, 0.000], [0.000, 0.500, 0.500], [0.500, 0.000, 0.500], [0.500, 0.500, 0.000], [0.000, 0.000, 0.500], [0.000, 0.500, 0.000], [0.500, 0.000, 0.000], [0.500, 0.500, 0.500], [0.250, 0.250, 0.250], [0.250, 0.750, 0.750], [0.750, 0.250, 0.750], [0.750, 0.750, 0.250], [0.250, 0.250, 0.750], [0.250, 0.750, 0.250], [0.750, 0.250, 0.250], [0.750, 0.750, 0.750]]
}